(1)
DFT (PBE) results for Ca4SbSeN after structural relaxation.

Computed properties:
Total energy ... -65.95 eV per cell
Space group ... Cmcm, No. 63
Crystal system ... orthorhombic
ΔE_f (raw) ... -1291 meV per atom

abc: 6.7061 6.7265 8.4981
angles: 90.00 113.24 90.00
Closest atoms and distances in Å follow each position.
Fractional positions:
Ca1 0.9102 0.2500 0.8205  1 N 2.46
Ca2 0.4072 0.7500 0.8143  1 N 2.50
Ca3 0.0898 0.7500 0.1795  1 N 2.46
Ca4 0.5928 0.2500 0.1857  1 N 2.50
Ca5 0.5000 0.5000 0.5000  2 N 2.37
Ca6 0.0000 0.0000 0.5000  2 N 2.37
Ca7 0.5000 0.0000 0.5000  2 N 2.37
Ca8 0.0000 0.5000 0.5000  2 N 2.37
Sb1 0.6063 0.7500 0.2126  9 Ca 3.11-3.37
Sb2 0.3937 0.2500 0.7874  9 Ca 3.11-3.37
Se1 0.1111 0.2500 0.2223  9 Ca 3.14-3.38
Se2 0.8889 0.7500 0.7777  9 Ca 3.14-3.38
N1 0.2472 0.7500 0.4944  6 Ca 2.37-2.50
N2 0.7528 0.2500 0.5056  6 Ca 2.37-2.50

***

(2)
DFT (PBE) results for Ca2Sm4Sb3N2 after structural relaxation.

Computed properties:
Total energy ... -64.50 eV per cell
Space group ... I4/mmm, No. 139
Crystal system ... tetragonal
ΔE_f (raw) ... -1146 meV per atom
Fermi-level density of states ... 3.9 states/eV/f.u.

abc: 4.8325 4.8325 13.0708
angles: 100.65 100.65 90.00
Closest atoms and distances in Å follow each position.
Fractional positions:
Ca1 0.3057 0.3057 0.6114  1 N 2.38
Ca2 0.6943 0.6943 0.3886  1 N 2.38
Sm1 0.4138 0.9138 0.8276  2 N 2.44
Sm2 0.9138 0.4138 0.8276  2 N 2.44
Sm3 0.0862 0.5862 0.1724  2 N 2.44
Sm4 0.5862 0.0862 0.1724  2 N 2.44
Sb1 0.0000 0.0000 0.0000  8 Sm 3.25
Sb2 0.1774 0.1774 0.3548  5 Ca 3.24-3.44, 4 Sm 3.34
Sb3 0.8226 0.8226 0.6452  5 Ca 3.24-3.44, 4 Sm 3.34
N1 0.4002 0.4002 0.8003  1 Ca 2.38, 4 Sm 2.44
N2 0.5998 0.5998 0.1997  1 Ca 2.38, 4 Sm 2.44

***

(3)
DFT (PBE) results for Ca2SnSbN after structural relaxation.

Computed properties:
Total energy ... -23.76 eV per cell
Space group ... P4/mmm, No. 123
Crystal system ... tetragonal
ΔE_f (raw) ... -661 meV per atom
Fermi-level density of states ... 0.7 states/eV/f.u.

abc: 4.9290 4.9290 4.7163
angles: 90.00 90.00 90.00
Closest atoms and distances in Å follow each position.
Fractional positions:
Sb1 0.5000 0.5000 0.5000  8 Ca 3.41, 4 Sn 3.49
Ca1 0.0000 0.5000 0.0000  2 N 2.46
Ca2 0.5000 0.0000 0.0000  2 N 2.46
Sn1 0.0000 0.0000 0.5000  2 N 2.36
N1 0.0000 0.0000 0.0000  2 Sn 2.36, 4 Ca 2.46

***

(4)
DFT (PBE) results for SrCa2SbN after structural relaxation.

Computed properties:
Total energy ... -23.25 eV per cell
Space group ... P4/mmm, No. 123
Crystal system ... tetragonal
ΔE_f (raw) ... -1024 meV per atom
Fermi-level density of states ... 0.1 states/eV/f.u.

abc: 4.9095 4.9095 5.1748
angles: 90.00 90.00 90.00
Closest atoms and distances in Å follow each position.
Fractional positions:
Sb1 0.5000 0.5000 0.5000  4 Sr 3.47, 8 Ca 3.57
Ca1 0.0000 0.5000 0.0000  2 N 2.45
Ca2 0.5000 0.0000 0.0000  2 N 2.45
N1 0.0000 0.0000 0.0000  4 Ca 2.45, 2 Sr 2.59
Sr1 0.0000 0.0000 0.5000  2 N 2.59